1.
First-principles (SCAN) data for a PBEsol-optimized structure of Sr4TcIr, as listed in Alexandria.

Unit cell a=6.1853 b=6.1853 c=6.1853 alpha=60.00 beta=60.00 gamma=60.00
Last column: nearest neighbours and their distance in Å.
Element x y z (fractional)
Sr 0.3744 0.3744 0.8767  6 Sr 3.08-3.11
Sr 0.8767 0.3744 0.3744  6 Sr 3.08-3.11
Sr 0.3744 0.8767 0.3744  6 Sr 3.08-3.11
Sr 0.3744 0.3744 0.3744  6 Sr 3.08-3.11
Tc 0.7500 0.7500 0.7500  12 Sr 3.63, 4 Ir 3.79
Ir 0.0000 0.0000 0.0000  12 Sr 3.62, 4 Tc 3.79

Properties
ΔH_f (0 K)   1.49 eV/atom
Total magnetization   2.34 Bohr magnetons per cell

---

2.
First-principles (SCAN) data for a PBEsol-optimized structure of Ta2NiP, as listed in Alexandria.

Unit cell a=2.9429 b=2.9429 c=6.5792 alpha=90.00 beta=90.00 gamma=90.00
Last column: nearest neighbours and their distance in Å.
Element x y z (fractional)
Ni 0.5000 0.5000 0.0000  8 Ta 2.71, 4 Ni 2.94
Ta 0.0000 0.0000 0.2649  4 P 2.59, 4 Ni 2.71
Ta 0.0000 0.0000 0.7351  4 P 2.59, 4 Ni 2.71
P 0.5000 0.5000 0.5000  8 Ta 2.59

Properties
ΔH_f (0 K)   -0.19 eV/atom
Total magnetization   0.00 Bohr magnetons per cell

---

3.
First-principles (SCAN) data for a PBEsol-optimized structure of PIrRu, as listed in Alexandria.

Unit cell a=3.8955 b=3.8955 c=3.8955 alpha=60.00 beta=60.00 gamma=60.00
Last column: nearest neighbours and their distance in Å.
Element x y z (fractional)
Ru 0.0000 0.0000 0.0000  4 P 2.39
Ir 0.5000 0.5000 0.5000  4 P 2.39
P 0.2500 0.2500 0.2500  4 Ru 2.39, 4 Ir 2.39

Properties
ΔH_f (0 K)   -0.43 eV/atom
Total magnetization   0.00 Bohr magnetons per cell

---

4.
First-principles (SCAN) data for a PBEsol-optimized structure of TaPtRh, as listed in Alexandria.

Unit cell a=3.2941 b=3.2941 c=4.8689 alpha=109.77 beta=109.77 gamma=90.00
Last column: nearest neighbours and their distance in Å.
Element x y z (fractional)
Ta 0.3298 0.3298 0.6595  5 Rh 2.67-2.96, 5 Pt 2.72-2.87
Rh 0.6761 0.6761 0.3523  5 Ta 2.67-2.96, 5 Pt 2.72-2.80
Pt 0.9941 0.9941 0.9882  5 Rh 2.72-2.80, 5 Ta 2.72-2.87

Properties
ΔH_f (0 K)   -0.68 eV/atom
Relative energy among the computed polymorphs   28 meV per atom
Total magnetization   0.00 Bohr magnetons per cell

---

5.
First-principles (SCAN) data for a PBEsol-optimized structure of CaAg2As, as listed in Alexandria.

Unit cell a=4.7657 b=4.8054 c=4.7856 alpha=119.86 beta=90.00 gamma=119.73
Last column: nearest neighbours and their distance in Å.
Element x y z (fractional)
Ag 0.0008 0.0015 0.0008  4 Ag 2.93-2.94, 4 Ca 2.94
Ag 0.7511 0.5021 0.2511  4 As 2.92-2.95, 4 Ag 2.93-2.94
As 0.4987 0.9974 0.4987  4 Ag 2.92-2.95, 4 Ca 2.94
Ca 0.2495 0.4990 0.7495  4 Ag 2.94, 4 As 2.94

Properties
ΔH_f (0 K)   -0.32 eV/atom
Total magnetization   0.00 Bohr magnetons per cell

---

6.
First-principles (SCAN) data for a PBEsol-optimized structure of SrTeSe2, as listed in Alexandria.

Unit cell a=4.4259 b=4.4259 c=8.9774 alpha=75.73 beta=75.73 gamma=60.00
Last column: nearest neighbours and their distance in Å.
Element x y z (fractional)
Te 0.5000 0.5000 0.5000  6 Se 2.88
Sr 0.0000 0.0000 0.0000  2 Se 2.98
Se 0.1156 0.1156 0.6532  3 Te 2.88, 1 Sr 2.98
Se 0.8844 0.8844 0.3468  3 Te 2.88, 1 Sr 2.98

Properties
Formation energy (no corrections)   -240 meV per atom
Total magnetization   0.00 Bohr magnetons per cell

---

7.
First-principles (SCAN) data for a PBEsol-optimized structure of Ba2LiSb, as listed in Alexandria.

Unit cell a=4.8759 b=4.8699 c=6.8479 alpha=90.00 beta=110.86 gamma=90.00
Last column: nearest neighbours and their distance in Å.
Element x y z (fractional)
Ba 0.3969 0.5000 0.7938  3 Sb 3.64-3.69, 4 Li 3.65
Ba 0.1162 0.0000 0.2324  2 Li 3.42, 4 Sb 3.56
Li 0.8033 0.0000 0.6067  2 Sb 2.87
Sb 0.6854 0.5000 0.3707  2 Li 2.87

Properties
Formation energy (no corrections)   -735 meV per atom
Total magnetization   0.05 Bohr magnetons per cell

---

8.
First-principles (SCAN) data for a PBEsol-optimized structure of BaNaHf3, as listed in Alexandria.

Unit cell a=5.3302 b=5.3302 c=5.3302 alpha=90.00 beta=90.00 gamma=90.00
Last column: nearest neighbours and their distance in Å.
Element x y z (fractional)
Na 0.5000 0.5000 0.5000  12 Hf 3.77
Hf 0.0000 0.0000 0.5000  2 Ba 2.67
Hf 0.0000 0.5000 0.0000  2 Ba 2.67
Hf 0.5000 0.0000 0.0000  2 Ba 2.67
Ba 0.0000 0.0000 0.0000  6 Hf 2.67

Properties
ΔH_f (0 K)   2.01 eV/atom
Total magnetization   0.00 Bohr magnetons per cell

---

Number 7 is which compound?
Ba2LiSb